TaZn2H2 | GGA-PBE | optimized geometry

The structure in POSCAR format:
```
TaZn2H2
1.0
7.018 0.000 0.000
0.000 7.018 0.000
0.000 0.000 2.564
Ta Zn H
2 4 4
direct
0.000 0.000 0.000
0.500 0.500 0.000
0.132 0.368 0.000
0.368 0.868 0.000
0.632 0.132 0.000
0.868 0.632 0.000
0.106 0.606 0.500
0.394 0.106 0.500
0.606 0.894 0.500
0.894 0.394 0.500
```

Total magnetization   0.00 μB per cell
N(E_F)   0.451 states/eV per atom
Excess energy over the best structure of this formula in the dataset   790.5 meV per atom
Symmetry   P4/mbm (127)

=====

TaZn2H | GGA-PBE | optimized geometry

The structure in POSCAR format:
```
TaZn2H
1.0
-2.707 2.707 3.579
2.707 -2.707 3.579
2.707 2.707 -3.579
Ta Zn H
2 4 2
direct
0.000 0.000 0.000
0.750 0.250 0.500
0.283 0.625 0.158
0.375 0.533 0.658
0.467 0.125 0.842
0.875 0.717 0.342
0.250 0.750 0.500
0.500 0.500 0.000
```

Total magnetization   0.00 μB per cell
N(E_F)   0.221 states/eV per atom
Excess energy over the best structure of this formula in the dataset   0.0 meV per atom
Symmetry   I-42d (122)

=====

ZrTa2ZnH | GGA-PBE | optimized geometry

The structure in POSCAR format:
```
ZrTa2ZnH
1.0
4.084 0.000 0.000
0.000 4.084 0.000
0.000 0.000 4.540
Zr Ta Zn H
1 2 1 1
direct
0.000 0.000 0.000
0.000 0.500 0.500
0.500 0.000 0.500
0.500 0.500 0.000
0.000 0.000 0.500
```

Total magnetization   0.00 μB per cell
N(E_F)   0.712 states/eV per atom
Symmetry   P4/mmm (123)
Raw total energy   -7.42 eV/atom